LaHgMo2 | PBE | relaxed

The final energy comes out at -6.00 eV/atom. The calculation puts the energy relative to the elements at 69 kJ/mol of atoms.

The structure belongs to space group Immm (No. 71); the cell edges are 3.491, 5.011 and 9.417 Å and the angles 90.00°, 90.00° and 90.00°. The inequivalent atoms are La at (0.000, 0.000, 0.000), Hg at (0.000, 0.000, 0.500) and Mo at (0.000, 0.500, 0.253).